# 1
The following is a PBE calculation of an optimized crystal structure of La4GaCu3, from the Alexandria database.

a = 4.5041 Å, b = 4.4594 Å, c = 10.1968 Å
α = 90.00°, β = 90.00°, γ = 90.00°
Positions (direct):
Cu (0.0000, 0.0000, 0.4454)
Cu (0.0000, 0.5000, 0.5584)
Cu (0.5000, 0.0000, 0.9376)
La (0.5000, 0.5000, 0.3621)
La (0.0000, 0.5000, 0.8441)
La (0.5000, 0.0000, 0.6497)
La (0.0000, 0.0000, 0.1454)
Ga (0.5000, 0.5000, 0.0572)

Properties
Density of states at the Fermi level, states/eV/atom: 0.971
DFT formation energy, eV per atom: -0.26


# 2
The following is a PBE calculation of an optimized crystal structure of CuTcSe2, from the Alexandria database.

a = 4.4464 Å, b = 4.4464 Å, c = 4.4464 Å
α = 60.00°, β = 60.00°, γ = 60.00°
Positions (direct):
Tc (0.5000, 0.5000, 0.5000)
Cu (0.0000, 0.0000, 0.0000)
Se (0.2500, 0.2500, 0.2500)
Se (0.7500, 0.7500, 0.7500)

Properties
Density of states at the Fermi level, states/eV/atom: 0.328
Distance to the lowest polymorph of the same formula, meV/atom: 247


# 3
The following is a PBE calculation of an optimized crystal structure of SrZrTcO6, from the Alexandria database.

a = 5.4118 Å, b = 5.4118 Å, c = 10.6765 Å
α = 90.00°, β = 90.00°, γ = 120.00°
Each line ends with the local moment (μB).
Positions (direct):
Tc (0.6667, 0.3333, 0.7500)  0.80
Tc (0.3333, 0.6667, 0.2500)  0.80
O (0.0237, 0.3856, 0.1473)  0.01
O (0.3619, 0.3856, 0.3527)  0.01
O (0.6381, 0.0237, 0.8527)  0.01
O (0.6144, 0.6381, 0.1473)  0.01
O (0.3856, 0.3619, 0.8527)  0.01
O (0.6144, 0.9763, 0.3527)  0.01
O (0.9763, 0.3619, 0.6473)  0.01
O (0.0237, 0.6381, 0.3527)  0.01
O (0.6381, 0.6144, 0.6473)  0.01
O (0.3619, 0.9763, 0.1473)  0.01
O (0.9763, 0.6144, 0.8527)  0.01
O (0.3856, 0.0237, 0.6473)  0.01
Zr (0.3333, 0.6667, 0.7500)  0.03
Zr (0.6667, 0.3333, 0.2500)  0.03
Sr (0.0000, 0.0000, 0.0000)  0.01
Sr (0.0000, 0.0000, 0.5000)  0.01

Properties
Density of states at the Fermi level, states/eV/atom: 0.525
E, eV per formula unit: -71.50